# 1
An optimized crystal structure of Li2Mg. Source: Alexandria via LeMat-Bulk, functional PBE. Values from VASP.

Formation enthalpy at 0 K: 0.278 eV/atom
Energy: -1.5292 eV/atom
Crystal system: cubic
Density of states at the Fermi level: 2.2 states/eV/cell

```
&SYSTEM
  ibrav = 0, nat = 3, ntyp = 2
/
ATOMIC_SPECIES
Mg 24.30 Mg.upf
Li 6.94 Li.upf
ATOMIC_POSITIONS crystal
Mg 0.000 0.000 0.000
Li 0.750 0.750 0.750
Li 0.250 0.250 0.250
CELL_PARAMETERS angstrom
-1.731 -2.976 3.364
-3.638 -2.970 -1.055
0.782 -4.737 -0.344
```


# 2
An optimized crystal structure of LaCuAg4. Source: Alexandria via LeMat-Bulk, functional PBE. Values from VASP.

Formation enthalpy at 0 K: -0.057 eV/atom
Energy: -3.4614 eV/atom
Crystal system: cubic
Density of states at the Fermi level: 5.1 states/eV/cell

```
&SYSTEM
  ibrav = 0, nat = 6, ntyp = 3
/
ATOMIC_SPECIES
Ag 107.87 Ag.upf
La 138.91 La.upf
Cu 63.55 Cu.upf
ATOMIC_POSITIONS crystal
Ag 0.376 0.376 0.376
Ag 0.376 0.376 0.872
Ag 0.872 0.376 0.376
Ag 0.376 0.872 0.376
La 0.000 0.000 0.000
Cu 0.750 0.750 0.750
CELL_PARAMETERS angstrom
0.000 3.954 3.954
3.954 0.000 3.954
3.954 3.954 0.000
```